Entry 1:
First-principles (GGA-PBE) data for LiTlCl after structural relaxation, as listed in Alexandria.

Unit cell a=3.7486 b=3.7486 c=6.5136 alpha=90.00 beta=90.00 gamma=120.00
Space group P3m1 (No. 156)
Unique sites:
1 Li 0.0000 0.0000 0.0000
2 Tl 0.6667 0.3333 0.4109
3 Cl 0.3333 0.6667 0.8932

Properties
Fermi-level density of states: 0.681 states/eV/cell
Density: 5.17 g cm⁻³
Formation energy without anion corrections: -0.959 eV/atom

Entry 2:
First-principles (GGA-PBE) data for Mg2HIr3 after structural relaxation, as listed in Alexandria.

Unit cell a=4.5801 b=4.7378 c=4.9213 alpha=118.47 beta=91.84 gamma=102.32
Space group P-1 (No. 2)
Unique sites:
1 Mg 0.1078 0.3617 0.1904
2 H 0.5000 0.5000 0.0000
3 Ir 0.0000 0.0000 0.5000
4 Ir 0.4793 0.9230 0.2061

Properties
Relative energy among the computed polymorphs: 0.12 eV per formula unit
Fermi-level density of states: 4.230 states/eV/cell
Density: 11.48 g cm⁻³

Electronic total energy readings, ordered: -9.0; -33.8 eV for the cell shown